First-principles (PBE) data for a geometry-optimized ZrScIO2 structure, as listed in the Alexandria database.

Cell and atoms, written as CIF:
```
data_ZrScIO2
_chemical_formula_sum 'Zr1 Sc1 I1 O2'
_cell_length_a 4.1360
_cell_length_b 4.1360
_cell_length_c 6.1421
_cell_angle_alpha 90.00
_cell_angle_beta 90.00
_cell_angle_gamma 90.00
_space_group_name_H-M_alt 'P 4/m m m'
_space_group_IT_number 123
_space_group_name_Hall '-P 4 2'
loop_
_atom_site_label
_atom_site_fract_x
_atom_site_fract_y
_atom_site_fract_z
Zr1 0.0000 0.0000 0.0000
Sc1 0.5000 0.5000 0.5000
I1 0.0000 0.0000 0.5000
O1 0.0000 0.5000 0.0000
```

Properties
**Polymorph energy (0 for the lowest one)**: 0.000 eV per formula unit
**E_form (uncorrected)**: -141.50 kJ per mole of atoms
**Electronic total energy**: -6.736 eV/atom